K2TlFe: relaxed, PBE-GGA.

```
data_K2TlFe
_chemical_formula_sum 'K2 Tl1 Fe1'
_symmetry_space_group_name_H-M 'P 1'
_symmetry_Int_Tables_number 1
_symmetry_space_group_name_Hall 'P 1'
_cell_length_a 5.640
_cell_length_b 5.640
_cell_length_c 5.640
_cell_angle_alpha 60.00
_cell_angle_beta 60.00
_cell_angle_gamma 60.00
loop_
_atom_site_label
_atom_site_fract_x
_atom_site_fract_y
_atom_site_fract_z
_atom_site_occupancy
K1 0.250 0.250 0.250 1
K2 0.000 0.000 0.000 1
Tl1 0.750 0.750 0.750 1
Fe1 0.500 0.500 0.500 1
```

Calculated values
The value obtained for the energy above the most stable polymorph in this dataset is 0.232 eV/atom. The space group is No. 216.


KTlFe2: relaxed, PBE-GGA.

```
data_KTlFe2
_chemical_formula_sum 'K1 Tl1 Fe2'
_symmetry_space_group_name_H-M 'P 1'
_symmetry_Int_Tables_number 1
_symmetry_space_group_name_Hall 'P 1'
_cell_length_a 4.514
_cell_length_b 4.514
_cell_length_c 4.316
_cell_angle_alpha 90.00
_cell_angle_beta 90.00
_cell_angle_gamma 90.00
loop_
_atom_site_label
_atom_site_fract_x
_atom_site_fract_y
_atom_site_fract_z
_atom_site_occupancy
Tl1 0.000 0.500 0.500 1
K1 0.500 0.000 0.500 1
Fe1 0.000 0.000 0.000 1
Fe2 0.500 0.500 0.000 1
```

Calculated values
The value obtained for the energy above the most stable polymorph in this dataset is 0.641 eV/atom. The space group is No. 123.


K2TlFe: relaxed, PBE-GGA.

```
data_K2TlFe
_chemical_formula_sum 'K2 Tl1 Fe1'
_symmetry_space_group_name_H-M 'P 1'
_symmetry_Int_Tables_number 1
_symmetry_space_group_name_Hall 'P 1'
_cell_length_a 4.699
_cell_length_b 4.699
_cell_length_c 5.750
_cell_angle_alpha 90.00
_cell_angle_beta 90.00
_cell_angle_gamma 90.00
loop_
_atom_site_label
_atom_site_fract_x
_atom_site_fract_y
_atom_site_fract_z
_atom_site_occupancy
K1 0.500 0.500 0.000 1
Fe1 0.000 0.500 0.500 1
Tl1 0.500 0.000 0.500 1
K2 0.000 0.000 0.000 1
```

Calculated values
The value obtained for the energy above the most stable polymorph in this dataset is 0.249 eV/atom. The space group is No. 123.


KTl2Fe: relaxed, PBE-GGA.

```
data_KTl2Fe
_chemical_formula_sum 'K1 Tl2 Fe1'
_symmetry_space_group_name_H-M 'P 1'
_symmetry_Int_Tables_number 1
_symmetry_space_group_name_Hall 'P 1'
_cell_length_a 6.538
_cell_length_b 6.538
_cell_length_c 6.538
_cell_angle_alpha 150.08
_cell_angle_beta 124.41
_cell_angle_gamma 64.42
loop_
_atom_site_label
_atom_site_fract_x
_atom_site_fract_y
_atom_site_fract_z
_atom_site_occupancy
Tl1 0.953 0.953 0.000 1
Tl2 0.547 0.547 0.000 1
K1 0.250 0.750 0.500 1
Fe1 0.750 0.250 0.500 1
```

Calculated values
The space group is No. 71.


Calculated density per entry: 4.430 6.705 4.427 7.346 g cm⁻³
Total DFT energy (no corrections) per entry: -0.0944 -0.1460 -0.0937 -0.1132 Ha/atom
DFT formation energy per entry: 0.69 1.12 0.71 0.49 eV per atom